(1)
6
Lattice="3.580 0.000 0.000 0.000 5.300 0.000 -1.790 0.000 8.469" Properties=species:S:1:pos:R:3 comment="DyThZn | Alexandria via LeMat-Bulk | PBE | relaxed" spacegroup="No. 63" crystal_system=orthorhombic magnetic_moment_mub_per_fu=0.00 polymorph_energy_kj_per_mol_atoms=1.2 pbc="T T T"
Zn 0.000 1.325 7.342
Zn 1.790 3.975 1.127
Dy 1.790 3.975 7.166
Dy 0.000 1.325 1.302
Th 1.790 1.325 4.696
Th 0.000 3.975 3.773



(2)
4
Lattice="-1.496 -0.180 -3.230 -3.464 -0.773 -0.321 -3.959 9.782 -0.686" Properties=species:S:1:pos:R:3 comment="Dy2ThZn | Alexandria via LeMat-Bulk | PBE | relaxed" spacegroup="No. 160" crystal_system=trigonal magnetic_moment_mub_per_fu=0.00 polymorph_energy_kj_per_mol_atoms=13.6 pbc="T T T"
Dy -3.463 7.609 -0.793
Dy -2.151 1.858 -1.077
Th -4.455 4.399 -2.118
Zn -3.310 -0.622 -2.367



(3)
7
Lattice="5.008 0.000 -1.596 -0.509 4.982 -1.596 -0.457 -0.506 7.219" Properties=species:S:1:pos:R:3 comment="Dy2ThZn4 | Alexandria via LeMat-Bulk | PBE | relaxed" spacegroup="No. 139" crystal_system=tetragonal magnetic_moment_mub_per_fu=0.00 pbc="T T T"
Dy 3.047 3.374 0.905
Dy 0.995 1.102 3.121
Th 0.000 0.000 0.000
Zn 1.123 4.017 3.524
Zn 3.882 1.526 3.524
Zn 2.918 0.459 0.502
Zn 0.160 2.950 0.502



(4)
4
Lattice="-0.041 2.392 -2.649 -3.106 1.041 -1.417 -1.579 7.973 4.820" Properties=species:S:1:pos:R:3 comment="DyThZn2 | Alexandria via LeMat-Bulk | PBE | relaxed" spacegroup="No. 166" crystal_system=trigonal magnetic_moment_mub_per_fu=0.00 pbc="T T T"
Zn -3.550 8.627 0.632
Zn -1.176 2.779 0.123
Th -2.363 5.703 0.377
Dy 0.000 0.000 0.000



These records have formation energy values of -0.130, -0.024, -0.077, -0.061 eV/atom, in the order they appear.